Model a:
First-principles (PBE-GGA) data for a geometry-optimized Mg3Pb4 structure, as listed in Alexandria.

Geometry as POSCAR:
```
Mg3Pb4
1.0
-1.761 -0.167 -3.070
13.932 -3.915 -5.735
-0.368 -3.501 0.401
Mg Pb
3 4
Direct
0.000 0.000 0.000
0.280 0.560 0.720
0.720 0.440 0.280
0.155 0.311 0.845
0.845 0.689 0.155
0.433 0.866 0.567
0.567 0.134 0.433
```

Output
Crystal system: tetragonal
SG: No. 139
Calculated volume, Å³/atom: 27.55
Density, g cm⁻³: 7.76

Model b:
First-principles (PBE-GGA) data for a geometry-optimized Mg3Pb4 structure, as listed in Alexandria.

Geometry as POSCAR:
```
Mg3Pb4
1.0
-4.883 -3.269 -0.833
4.760 -2.390 2.619
-2.201 1.841 5.681
Mg Pb
3 4
Direct
0.000 0.500 0.000
0.500 0.500 0.000
0.500 0.000 0.000
0.000 0.000 0.252
0.000 0.000 0.748
0.667 0.333 0.500
0.333 0.667 0.500
```

Output
Crystal system: hexagonal
SG: No. 191
Calculated volume, Å³/atom: 27.74
Density, g cm⁻³: 7.71

Which of them is the least stable? Correct choice: model b.

Model a:
First-principles (PBE-GGA) data for a geometry-optimized Mg3Pb4 structure, as listed in Alexandria.

Geometry as POSCAR:
```
Mg3Pb4
1.0
3.762 0.000 -0.548
-0.105 3.731 -0.721
0.024 0.646 13.354
Mg Pb
3 4
Direct
0.864 0.364 0.727
0.000 0.500 0.000
0.136 0.636 0.273
0.705 0.205 0.409
0.295 0.795 0.591
0.432 0.932 0.865
0.568 0.068 0.135
```

Output
Crystal system: tetragonal
SG: No. 139
Calculated volume, Å³/atom: 27.03
Density, g cm⁻³: 7.91

Model b:
First-principles (PBE-GGA) data for a geometry-optimized Mg3Pb4 structure, as listed in Alexandria.

Geometry as POSCAR:
```
Mg3Pb4
1.0
8.035 0.000 0.000
-2.678 7.575 0.000
-2.678 -3.788 6.560
Mg Pb
6 8
Direct
0.125 0.375 0.250
0.625 0.750 0.875
0.875 0.250 0.625
0.250 0.875 0.125
0.750 0.625 0.375
0.375 0.125 0.750
0.333 0.500 0.000
0.500 0.333 0.500
0.000 0.000 0.333
0.667 0.167 0.167
0.000 0.000 0.833
0.167 0.667 0.667
0.833 0.500 0.000
0.500 0.833 0.500
```

Output
Crystal system: cubic
SG: No. 220
Calculated volume, Å³/atom: 28.52
Density, g cm⁻³: 7.50

Which of them is the least stable? Correct choice: model b.

Model a:
First-principles (PBE-GGA) data for a geometry-optimized Mg5Pb4 structure, as listed in Alexandria.

Geometry as POSCAR:
```
Mg5Pb4
1.0
-7.113 2.246 0.145
5.049 -4.082 3.676
2.909 6.619 1.842
Mg Pb
5 4
Direct
0.000 0.000 0.000
0.663 0.337 0.000
0.337 0.663 0.000
0.337 0.337 0.674
0.663 0.663 0.326
0.687 0.000 0.687
0.313 0.000 0.313
0.000 0.313 0.313
0.000 0.687 0.687
```

Output
Crystal system: tetragonal
SG: No. 139
Calculated volume, Å³/atom: 26.25
Density, g cm⁻³: 6.68

Model b:
First-principles (PBE-GGA) data for a geometry-optimized Mg5Pb4 structure, as listed in Alexandria.

Geometry as POSCAR:
```
Mg5Pb4
1.0
-1.126 -2.320 -8.719
-5.729 -6.703 -2.218
-4.869 4.335 -0.525
Mg Pb
10 8
Direct
0.313 0.687 0.250
0.000 0.313 0.250
0.687 0.000 0.250
0.687 0.313 0.750
0.000 0.687 0.750
0.313 0.000 0.750
0.333 0.333 0.000
0.667 0.667 0.500
0.667 0.667 0.000
0.333 0.333 0.500
0.000 0.000 0.000
0.000 0.000 0.500
0.639 0.361 0.250
0.000 0.639 0.250
0.361 0.000 0.250
0.361 0.639 0.750
0.000 0.361 0.750
0.639 0.000 0.750
```

Output
Crystal system: hexagonal
SG: No. 193
Calculated volume, Å³/atom: 26.01
Density, g cm⁻³: 6.74

Which of them is the least stable? Correct choice: model b.

Model a:
First-principles (PBE-GGA) data for a geometry-optimized Mg5Pb7 structure, as listed in Alexandria.

Geometry as POSCAR:
```
Mg5Pb7
1.0
4.760 0.000 0.000
-2.380 4.753 -0.255
0.000 -1.639 14.975
Mg Pb
5 7
Direct
0.167 0.335 0.437
0.833 0.665 0.563
0.405 0.809 0.155
0.595 0.191 0.845
0.000 0.000 0.000
0.171 0.343 0.662
0.829 0.657 0.338
0.105 0.209 0.226
0.895 0.791 0.774
0.702 0.404 0.074
0.500 0.000 0.500
0.298 0.596 0.926
```

Output
Crystal system: monoclinic
SG: No. 12
Calculated volume, Å³/atom: 28.07
Density, g cm⁻³: 7.75

Model b:
First-principles (PBE-GGA) data for a geometry-optimized Mg5Pb7 structure, as listed in Alexandria.

Geometry as POSCAR:
```
Mg5Pb7
1.0
4.711 0.000 0.743
2.090 6.837 2.056
0.775 -0.172 10.394
Mg Pb
5 7
Direct
0.835 0.834 0.496
0.165 0.166 0.504
0.749 0.247 0.254
0.251 0.753 0.746
0.000 0.000 0.000
0.600 0.065 0.734
0.400 0.935 0.266
0.090 0.567 0.253
0.910 0.433 0.747
0.339 0.321 0.000
0.500 0.500 0.500
0.661 0.679 0.000
```

Output
Crystal system: monoclinic
SG: No. 12
Calculated volume, Å³/atom: 27.69
Density, g cm⁻³: 7.86

Which of them is the least stable? Correct choice: model a.

Model a:
First-principles (PBE-GGA) data for a geometry-optimized MgPb5 structure, as listed in Alexandria.

Geometry as POSCAR:
```
MgPb5
1.0
-1.479 7.854 4.904
-0.478 -6.094 -7.110
-4.662 -2.310 2.293
Mg Pb
1 5
Direct
0.999 0.001 0.000
0.340 0.660 0.000
0.657 0.343 0.000
0.449 0.551 0.500
0.778 0.222 0.500
0.110 0.890 0.500
```

Output
Crystal system: orthorhombic
SG: No. 38
Calculated volume, Å³/atom: 30.00
Density, g cm⁻³: 9.78

Model b:
First-principles (PBE-GGA) data for a geometry-optimized MgPb5 structure, as listed in Alexandria.

Geometry as POSCAR:
```
MgPb5
1.0
3.161 -5.476 0.000
3.161 5.476 0.000
0.000 0.000 5.979
Mg Pb
1 5
Direct
0.000 0.000 0.000
0.333 0.667 0.000
0.667 0.333 0.000
0.500 0.000 0.500
0.000 0.500 0.500
0.500 0.500 0.500
```

Output
Crystal system: hexagonal
SG: No. 191
Calculated volume, Å³/atom: 34.50
Density, g cm⁻³: 8.51

Which of them is the least stable? Correct choice: model b.

Model a:
First-principles (PBE-GGA) data for a geometry-optimized Mg4Pb3 structure, as listed in Alexandria.

Geometry as POSCAR:
```
Mg4Pb3
1.0
-8.947 8.378 2.496
-8.456 5.678 7.261
10.613 -5.231 -4.057
Pb Mg
3 4
Direct
0.000 0.000 0.000
0.301 0.301 0.000
0.699 0.699 0.000
0.135 0.135 0.000
0.433 0.433 0.000
0.567 0.567 0.000
0.865 0.865 0.000
```

Output
Crystal system: tetragonal
SG: No. 139
Calculated volume, Å³/atom: 26.35
Density, g cm⁻³: 6.47

Model b:
First-principles (PBE-GGA) data for a geometry-optimized Mg4Pb3 structure, as listed in Alexandria.

Geometry as POSCAR:
```
Mg4Pb3
1.0
3.249 -5.628 0.000
3.249 5.628 0.000
0.000 0.000 5.451
Mg Pb
4 3
Direct
0.000 0.000 0.252
0.000 0.000 0.748
0.667 0.333 0.500
0.333 0.667 0.500
0.000 0.500 0.000
0.500 0.500 0.000
0.500 0.000 0.000
```

Output
Crystal system: hexagonal
SG: No. 191
Calculated volume, Å³/atom: 28.48
Density, g cm⁻³: 5.99

Which of them is the least stable? Correct choice: model b.

Model a:
First-principles (PBE-GGA) data for a geometry-optimized Mg4Pb3 structure, as listed in Alexandria.

Geometry as POSCAR:
```
Mg4Pb3
1.0
6.407 0.000 0.000
-2.136 8.044 0.000
-2.136 -4.022 6.967
Mg Pb
8 6
Direct
0.500 0.000 0.000
0.000 0.000 0.000
0.939 0.698 0.552
0.387 0.448 0.146
0.241 0.854 0.302
0.061 0.302 0.448
0.613 0.552 0.854
0.759 0.146 0.698
0.123 0.589 0.869
0.254 0.131 0.720
0.534 0.280 0.411
0.877 0.411 0.131
0.746 0.869 0.280
0.466 0.720 0.589
```

Output
Crystal system: trigonal
SG: No. 148
Calculated volume, Å³/atom: 25.65
Density, g cm⁻³: 6.65

Model b:
First-principles (PBE-GGA) data for a geometry-optimized Mg4Pb3 structure, as listed in Alexandria.

Geometry as POSCAR:
```
Mg4Pb3
1.0
3.490 0.000 -0.508
-0.122 4.338 -0.839
-0.044 0.055 11.936
Mg Pb
4 3
Direct
0.714 0.214 0.428
0.286 0.786 0.572
0.428 0.928 0.855
0.572 0.072 0.145
0.852 0.352 0.703
0.000 0.500 0.000
0.148 0.648 0.297
```

Output
Crystal system: orthorhombic
SG: No. 71
Calculated volume, Å³/atom: 25.82
Density, g cm⁻³: 6.60

Which of them is the least stable? Correct choice: model a.

Model a:
First-principles (PBE-GGA) data for a geometry-optimized Mg4Pb structure, as listed in Alexandria.

Geometry as POSCAR:
```
Mg4Pb
1.0
4.765 0.000 -1.392
-0.701 5.767 -2.401
-0.034 0.207 8.736
Mg Pb
8 2
Direct
0.107 0.357 0.215
0.893 0.643 0.785
0.500 0.000 0.000
0.500 0.500 0.000
0.697 0.205 0.393
0.303 0.795 0.607
0.303 0.312 0.607
0.697 0.688 0.393
0.891 0.141 0.782
0.109 0.859 0.218
```

Output
Crystal system: orthorhombic
SG: No. 74
Calculated volume, Å³/atom: 24.24
Density, g cm⁻³: 4.17

Model b:
First-principles (PBE-GGA) data for a geometry-optimized Mg4Pb structure, as listed in Alexandria.

Geometry as POSCAR:
```
Mg4Pb
1.0
-0.513 -2.644 -4.798
-4.197 -2.908 2.051
-3.521 3.851 -1.746
Pb Mg
1 4
Direct
0.500 0.500 0.500
0.000 0.000 0.000
0.500 0.000 0.500
0.000 0.500 0.500
0.500 0.500 0.000
```

Output
Crystal system: cubic
SG: No. 221
Calculated volume, Å³/atom: 33.31
Density, g cm⁻³: 3.04

Which of them is the least stable? Correct choice: model b.